Entry 1:
Density functional theory data (PBE) for a geometry-optimized CSe2 structure.

Results
energy relative to the lowest polymorph listed for this composition = 1.010 eV/atom
formation energy without anion corrections = 4.71 eV/f.u.
total moment = 0.00 μB per formula unit

a b c (Å): 3.500 4.900 6.057
angles (deg): 90.00 90.00 90.00
Fractional coordinates of all 6 atoms:
C 0.500 0.500 0.500
Se 0.500 0.308 0.130
C 0.000 0.000 0.000
Se 0.500 0.692 0.870
Se 0.000 0.192 0.630
Se 0.000 0.808 0.370

=====

Entry 2:
Density functional theory data (PBE) for a geometry-optimized Pr4TeRhCl2 structure.

Results
formation energy without anion corrections = -9.96 eV/f.u.
total moment = 0.00 μB per formula unit

a b c (Å): 4.162 7.342 7.987
angles (deg): 71.07 90.00 90.00
Fractional coordinates of all 8 atoms:
Te 0.500 0.500 0.000
Pr 0.000 0.754 0.716
Cl 0.000 0.000 0.000
Cl 0.500 0.000 0.500
Pr 0.000 0.246 0.284
Rh 0.000 0.500 0.500
Pr 0.500 0.719 0.288
Pr 0.500 0.281 0.712

=====

Entry 3:
Density functional theory data (PBE) for a geometry-optimized Zn2CoIr structure.

Results
energy of formation = -18 kJ/mol of formula units
total moment = 1.11 μB per formula unit

a b c (Å): 4.160 4.160 3.054
angles (deg): 90.00 90.00 89.99
Fractional coordinates of all 4 atoms:
Zn 0.500 0.500 0.000
Zn 0.000 0.000 0.000
Co 0.500 0.000 0.500
Ir 0.000 0.500 0.500